Entry 1:
DFT (GGA-PBE) results for Pm6PrYHo2 after structural relaxation.

The calculation puts the volume at 341.4 Å³/f.u. As for the crystal system: monoclinic. As for the formation energy: 0.12 eV per atom. For the energy, the calculation gives -191.00 eV per cell.

The space group is C2/c (No. 15) and the conventional cell measures 9.226, 15.328 and 9.749 Å, with angles of 90.00, 97.91 and 90.00 degrees. Symmetry generates all atoms from Pm at (0.064, 0.179, 0.445), Pm at (0.101, 0.394, 0.621), Pm at (0.206, 0.226, 0.817), Pr at (0.000, 0.406, 0.250), Y at (0.000, 0.027, 0.750) and Ho at (0.245, 0.050, 0.045).

---

Entry 2:
DFT (GGA-PBE) results for Pr2Sm2Se3 after structural relaxation.

Its energy relative to the elements, uncorrected is -10.77 eV per formula unit. The calculation puts the volume at 203.4 Å³/f.u. As for the crystal system: triclinic. For the energy, the calculation gives -40.22 eV per cell.

The space group is P-1 (No. 2) and the conventional cell measures 4.127, 7.195 and 7.252 Å, with angles of 99.22, 90.02 and 106.64 degrees. Symmetry generates all atoms from Pr at (0.123, 0.244, 0.382), Sm at (0.373, 0.746, 0.121), Se at (0.000, 0.000, 0.000) and Se at (0.252, 0.504, 0.756).

---

Q: The highest energy belongs to which entry?
A: Pr2Sm2Se3